First-principles (PBE) data for Fe5As after structural relaxation, as listed in Alexandria.

Calculated values
- DFT formation energy: -0.0045 eV per atom

```
Fe5As
1.0
1.5328 -5.9352 0.0000
1.5328 5.9352 0.0000
0.0000 0.0000 3.9590
Fe As
5 1
Direct
0.0000 0.0000 0.0000 Fe
0.1691 0.8309 0.5000 Fe
0.3331 0.6669 0.0000 Fe
0.6669 0.3331 0.0000 Fe
0.8309 0.1691 0.5000 Fe
0.5000 0.5000 0.5000 As
```